Pr2Tl2Hg after structural relaxation, computed with PBE.

Cell and atoms, written as POSCAR:
```
Pr2Tl2Hg
1.0
1.888 -11.170 0.000
1.888 11.170 0.000
0.000 0.000 3.552
Pr Tl Hg
2 2 1
Cartesian
1.888 9.054 0.000
1.888 -9.054 0.000
1.888 4.342 1.776
1.888 -4.342 1.776
1.888 0.000 1.776
```

Calculated volume in A^3/atom: 30.0
SG: No. 65

LiCeSm2Au4 after structural relaxation, computed with PBE.

Cell and atoms, written as POSCAR:
```
LiCeSm2Au4
1.0
2.559 1.478 8.330
-2.559 1.478 8.330
0.000 -2.955 8.330
Li Ce Sm Au
1 1 2 4
Cartesian
0.000 0.000 0.000
0.000 0.000 12.494
0.000 0.000 6.462
0.000 0.000 18.527
0.000 0.000 3.192
0.000 0.000 9.483
0.000 0.000 15.506
0.000 0.000 21.796
```

Calculated volume in A^3/atom: 23.6
SG: No. 166

no.,DFT formation energy (eV per atom),M_tot (μB/f.u.)
1,-0.270,0.00
2,-0.676,0.74